Material: TlCo2Te
Method: DFT, PBE-GGA
State: optimized geometry

abc: 4.7627 4.7627 4.7627
angles: 60.00 60.00 60.00
Last column: nearest neighbours and their distance in Å.
Element x y z (fractional)
Co  0.0000  0.0000  0.0000  4 Co 2.92, 4 Tl 2.92
Co  0.7500  0.7500  0.7500  4 Co 2.92, 4 Te 2.92
Te  0.5000  0.5000  0.5000  4 Co 2.92, 4 Tl 2.92
Tl  0.2500  0.2500  0.2500  4 Co 2.92, 4 Te 2.92

Values from the calculation:
energy relative to the elements, uncorrected	0.8906	eV/atom
magnetization	3.042	μB per formula unit
calculated density	9778	kg/m³


Material: Tl2CoTe
Method: DFT, PBE-GGA
State: optimized geometry

abc: 6.3642 6.3642 6.3642
angles: 140.52 140.52 57.07
Last column: nearest neighbours and their distance in Å.
Element x y z (fractional)
Co  0.2500  0.7500  0.5000  4 Te 3.04
Te  0.7500  0.2500  0.5000  4 Co 3.04
Tl  0.0000  0.0000  0.0000  4 Tl 3.04
Tl  0.5000  0.5000  0.0000  4 Tl 3.04

Values from the calculation:
energy relative to the elements, uncorrected	0.4637	eV/atom
magnetization	1.888	μB per formula unit
calculated density	9565	kg/m³


Material: TlCo2Te
Method: DFT, PBE-GGA
State: optimized geometry

abc: 6.4469 6.4469 6.4469
angles: 147.27 149.89 45.07
Last column: nearest neighbours and their distance in Å.
Element x y z (fractional)
Co  0.9891  0.9891  0.0000  4 Te 2.54, 2 Co 2.82
Co  0.6791  0.1791  0.5000  2 Te 2.47
Te  0.5389  0.5389  0.0000  6 Co 2.47-2.54
Tl  0.2930  0.7930  0.5000  6 Co 2.82-2.87

Values from the calculation:
energy relative to the elements, uncorrected	0.4116	eV/atom
magnetization	0.002	μB per formula unit
calculated density	10310	kg/m³


Material: TlCo2Te
Method: DFT, PBE-GGA
State: optimized geometry

abc: 3.2305 3.2318 6.6694
angles: 90.00 90.00 90.00
Last column: nearest neighbours and their distance in Å.
Element x y z (fractional)
Co  0.0000  0.0000  0.0367  4 Te 2.69, 1 Co 2.85, 4 Tl 2.98
Co  0.0000  0.0000  0.4633  4 Te 2.69, 1 Co 2.85, 4 Tl 2.98
Te  0.5000  0.5000  0.2500  8 Co 2.69
Tl  0.5000  0.5000  0.7500  8 Co 2.98, 4 Tl 3.23, 2 Te 3.33

Values from the calculation:
energy relative to the elements, uncorrected	0.4886	eV/atom
magnetization	2.141	μB per formula unit
calculated density	10728	kg/m³


Material: TlCoTe
Method: DFT, PBE-GGA
State: optimized geometry

abc: 4.2307 4.2307 8.3969
angles: 90.00 90.00 90.00
Last column: nearest neighbours and their distance in Å.
Element x y z (fractional)
Tl  0.0000  0.5000  0.8441  4 Te 3.34, 4 Co 3.58
Tl  0.5000  0.0000  0.1559  4 Te 3.34, 4 Co 3.58
Te  0.0000  0.5000  0.3315  4 Co 2.54
Te  0.5000  0.0000  0.6685  4 Co 2.54
Co  0.0000  0.0000  0.5000  4 Te 2.54
Co  0.5000  0.5000  0.5000  4 Te 2.54

Values from the calculation:
energy relative to the elements, uncorrected	-0.0049	eV/atom
magnetization	1.259	μB per formula unit
calculated density	8638	kg/m³


Material: TlCo2Te
Method: DFT, PBE-GGA
State: optimized geometry

abc: 3.9796 3.8271 5.2499
angles: 68.62 90.00 90.00
Last column: nearest neighbours and their distance in Å.
Element x y z (fractional)
Co  0.0000  0.1826  0.0111  2 Co 2.34
Co  0.5000  0.0556  0.2620  2 Co 2.34
Te  0.0000  0.4893  0.3985  7 Co 2.69-3.00
Tl  0.5000  0.7726  0.8284  7 Co 2.77-2.91

Values from the calculation:
energy relative to the elements, uncorrected	0.3169	eV/atom
magnetization	3.038	μB per formula unit
calculated density	10033	kg/m³


Material: Tl2CoTe
Method: DFT, PBE-GGA
State: optimized geometry

abc: 3.3792 4.4529 7.0026
angles: 71.40 90.00 90.00
Last column: nearest neighbours and their distance in Å.
Element x y z (fractional)
Co  0.0000  0.7209  0.4327  2 Te 2.51
Te  0.5000  0.5809  0.7130  2 Co 2.51
Tl  0.0000  0.9340  0.0073  1 Co 2.82
Tl  0.5000  0.2641  0.3470  4 Co 2.85

Values from the calculation:
energy relative to the elements, uncorrected	0.1613	eV/atom
magnetization	0.349	μB per formula unit
calculated density	9899	kg/m³


Material: Tl2CoTe
Method: DFT, PBE-GGA
State: optimized geometry

abc: 3.9138 3.9138 8.1046
angles: 76.05 76.05 60.00
Last column: nearest neighbours and their distance in Å.
Element x y z (fractional)
Co  0.5083  0.5083  0.4743  3 Te 2.49, 2 Tl 2.79
Te  0.2195  0.2195  0.3407  3 Co 2.49
Tl  0.0001  0.0001  0.0013  3 Tl 3.35, 3 Te 3.47-3.48
Tl  0.7721  0.7721  0.6837  3 Co 2.79

Values from the calculation:
energy relative to the elements, uncorrected	0.1072	eV/atom
magnetization	0.004	μB per formula unit
calculated density	9573	kg/m³